Entry 1:
Compound: Ti5NiBi2
Source: Alexandria
Functional: PBE
Structure: optimized geometry

## Properties
magnetization = 0.0000 μB per atom
energy of formation = 75 meV/atom
symmetry = Cmcm, No. 63
DFT total energy = -0.241 hartree per atom
density = 7.25 Mg/m³

Lattice parameters (Å, degrees): 3.193 8.455 12.364 90.00 90.00 100.89
Positions (direct):
Ti 0.864 0.728 0.878
Ti 0.864 0.728 0.622
Ti 0.304 0.608 0.448
Ti 0.304 0.608 0.052
Ti 0.743 0.487 0.250
Ti 0.257 0.513 0.750
Ti 0.696 0.392 0.552
Ti 0.696 0.392 0.948
Ti 0.136 0.272 0.122
Ti 0.136 0.272 0.378
Ni 0.641 0.281 0.750
Ni 0.359 0.719 0.250
Bi 0.949 0.899 0.388
Bi 0.949 0.899 0.112
Bi 0.051 0.101 0.612
Bi 0.051 0.101 0.888



Entry 2:
Compound: TiNiBi
Source: Alexandria
Functional: PBE
Structure: optimized geometry

## Properties
magnetization = 0.0000 μB per atom
energy of formation = -128 meV/atom
symmetry = C2/m, No. 12
DFT total energy = -0.220 hartree per atom
density = 9.27 Mg/m³

Lattice parameters (Å, degrees): 4.291 4.291 6.137 89.91 89.91 90.00
Positions (direct):
Bi 0.749 0.749 0.296
Bi 0.251 0.251 0.704
Ti 0.751 0.751 0.776
Ti 0.249 0.249 0.224
Ni 0.750 0.250 0.000
Ni 0.250 0.750 0.000